1.
## Ca8Si2O (PBE)

Data for a relaxed structure of Ca8Si2O.

total magnetization: 0.0000 μB per atom
energy relative to the elements, uncorrected: -0.633 eV/atom

abc: 21.032 4.196 7.706
angles: 90.00 93.03 90.00
Space group C2/m (No. 12)
Unique sites:
1 Ca 0.006 0.000 0.269 (multiplicity 4)
2 Ca 0.107 0.500 0.527 (multiplicity 4)
3 Ca 0.123 0.500 0.033 (multiplicity 4)
4 Ca 0.237 0.000 0.703 (multiplicity 4)
5 Si 0.159 0.000 0.309 (multiplicity 4)
6 O 0.000 0.500 0.500 (multiplicity 2)



2.
## CsRb2ZnHg (PBE)

Data for a relaxed structure of CsRb2ZnHg.

total magnetization: 0.0000 μB per atom
VASP energy: -0.82 eV per atom

abc: 7.063 7.063 5.799
angles: 90.00 90.00 90.00
Space group P4/mmm (No. 123)
Unique sites:
1 Cs 0.000 0.000 0.000 (multiplicity 1)
2 Rb 0.000 0.500 0.500 (multiplicity 2)
3 Zn 0.500 0.500 0.500 (multiplicity 1)
4 Hg 0.500 0.500 0.000 (multiplicity 1)



3.
## ZnCo2W (PBE)

Data for a relaxed structure of ZnCo2W.

total magnetization: 0.4987 μB per atom
VASP energy: -6.95 eV per atom

abc: 2.6973 2.6973 25.0078
angles: 90.00 90.00 120.00
Space group R-3m (No. 166, hexagonal axes)
Unique sites:
1 Zn 0.0000 0.0000 0.0000 (multiplicity 3)
2 Co 0.0000 0.0000 0.2508 (multiplicity 6)
3 W 0.0000 0.0000 0.5000 (multiplicity 3)



4.
## Ti3CrTc3 (PBE)

Data for a relaxed structure of Ti3CrTc3.

total magnetization: 0.5187 μB per atom
VASP energy: -9.11 eV per atom

abc: 7.992 8.981 6.241
angles: 90.00 90.00 90.00
Space group Cmmm (No. 65)
Unique sites:
1 Ti 0.000 0.000 0.246 (multiplicity 4)
2 Ti 0.250 0.250 0.246 (multiplicity 8)
3 Cr 0.190 0.500 0.500 (multiplicity 4)
4 Tc 0.000 0.234 0.500 (multiplicity 4)
5 Tc 0.000 0.241 0.000 (multiplicity 4)
6 Tc 0.198 0.500 0.000 (multiplicity 4)



N(E_F), record by record: 13.0 3.0 10.8 26.2 states/eV/cell